## SbRhSe4 (PBE)

Data for a relaxed SbRhSe4 crystal.

Properties
The value obtained for the energy above the lowest structure with this stoichiometry is 1170.0 meV/atom.

The structure in POSCAR format:
```
SbRhSe4
1.0
0.0000 3.9962 3.9962
3.9962 0.0000 3.9962
3.9962 3.9962 0.0000
Sb Rh Se
1 1 4
Direct
0.0000 0.0000 0.0000
0.2500 0.2500 0.2500
0.1301 0.6233 0.6233
0.6233 0.1301 0.6233
0.6233 0.6233 0.1301
0.6233 0.6233 0.6233
```



## Sb2RhSe (PBE)

Data for a relaxed Sb2RhSe crystal.

The structure in POSCAR format:
```
Sb2RhSe
1.0
3.4049 0.0000 0.0000
0.0000 3.4049 0.0000
0.0000 0.0000 7.2337
Sb Rh Se
2 1 1
Direct
0.0000 0.0000 0.2209
0.0000 0.0000 0.7791
0.5000 0.5000 0.0000
0.5000 0.5000 0.5000
```



## SbRhSe2 (PBE)

Data for a relaxed SbRhSe2 crystal.

The structure in POSCAR format:
```
SbRhSe2
1.0
4.1986 0.0000 0.0000
0.0000 3.6893 0.0000
-0.0375 0.0000 5.4863
Sb Rh Se
1 1 2
Direct
0.0000 0.0000 0.0000
0.5000 0.5000 0.5000
0.0000 0.0000 0.5000
0.5000 0.5000 0.0000
```



Number 1: E_tot -3.406 eV/atom, formation energy (no corrections) 0.830 eV per atom, spin magnetization 0.00 μB per cell. Number 2: E_tot -4.814 eV/atom, formation energy (no corrections) -0.044 eV per atom, spin magnetization 0.00 μB per cell. Number 3: E_tot -4.529 eV/atom, formation energy (no corrections) 0.082 eV per atom, spin magnetization 0.00 μB per cell.